VASP calculation (PBE) on a relaxed structure of In2PbSe.

It has space group Pm (No. 6), with a = 3.9613 Å, b = 5.8339 Å, c = 5.0410 Å, α = 90.00°, β = 90.03° and γ = 90.00°. The asymmetric unit holds In at (0.0000, 0.0000, 0.0000), In at (0.4960, 0.5000, 0.6974), Pb at (0.9966, 0.5000, 0.2009) and Se at (0.4999, 0.0000, 0.6147).

The calculation puts the formation energy from raw total energies at -0.14 eV per atom. As for the total moment: 0.00 Bohr magnetons per cell. For the energy above the most stable polymorph in this dataset, the calculation gives 28.4 meV per atom.


VASP calculation (PBE) on a relaxed structure of InPbSe2.

It has space group C2/m (No. 12), with a = 14.1814 Å, b = 4.2500 Å, c = 7.8180 Å, α = 90.00°, β = 102.71° and γ = 90.00°. The asymmetric unit holds In at (0.0000, 0.0000, 0.0000), In at (0.0000, 0.5000, 0.5000), Pb at (0.2470, 0.0000, 0.7480), Se at (0.1120, 0.0000, 0.4022) and Se at (0.1232, 0.5000, 0.8410).

The calculation puts the formation energy from raw total energies at -0.48 eV per atom. As for the total moment: 0.00 Bohr magnetons per cell.


VASP calculation (PBE) on a relaxed structure of In2PbSe4.

It has space group Cccm (No. 66), with a = 6.8513 Å, b = 10.9572 Å, c = 11.0962 Å, α = 90.00°, β = 90.00° and γ = 90.00°. The asymmetric unit holds In at (0.0032, 0.2265, 0.0000), Pb at (0.0000, 0.5000, 0.2500), Se at (0.2175, 0.4303, 0.5000) and Se at (0.2500, 0.2500, 0.1815).

The calculation puts the formation energy from raw total energies at -0.53 eV per atom. As for the total moment: 0.00 Bohr magnetons per cell. For the energy above the most stable polymorph in this dataset, the calculation gives 0.0 meV per atom.


VASP calculation (PBE) on a relaxed structure of InPbSe.

It has space group F-43m (No. 216), with a = 7.3685 Å, b = 7.3685 Å, c = 7.3685 Å, α = 90.00°, β = 90.00° and γ = 90.00°. The asymmetric unit holds In at (0.0000, 0.0000, 0.0000), Pb at (0.0000, 0.0000, 0.5000) and Se at (0.2500, 0.2500, 0.7500).

The calculation puts the formation energy from raw total energies at -0.02 eV per atom. As for the total moment: 0.00 Bohr magnetons per cell. For the energy above the most stable polymorph in this dataset, the calculation gives 219.4 meV per atom.


VASP calculation (PBE) on a relaxed structure of InPbSe2.

It has space group Cm (No. 8), with a = 14.7189 Å, b = 4.2422 Å, c = 10.1983 Å, α = 90.00°, β = 129.74° and γ = 90.00°. The asymmetric unit holds In at (0.0000, 0.0000, 0.0000), In at (0.1270, 0.5000, 0.8199), Pb at (0.2893, 0.5000, 0.6030), Pb at (0.3809, 0.0000, 0.2275), Se at (0.0457, 0.0000, 0.3038), Se at (0.1647, 0.5000, 0.1079), Se at (0.2437, 0.0000, 0.8321) and Se at (0.4033, 0.0000, 0.5549).

The calculation puts the formation energy from raw total energies at -0.50 eV per atom. As for the total moment: 0.00 Bohr magnetons per cell.


VASP calculation (PBE) on a relaxed structure of InPb2Se.

It has space group Immm (No. 71), with a = 3.9032 Å, b = 5.5619 Å, c = 10.7099 Å, α = 90.00°, β = 90.00° and γ = 90.00°. The asymmetric unit holds In at (0.0000, 0.0000, 0.0000), Pb at (0.0000, 0.5000, 0.2191) and Se at (0.0000, 0.0000, 0.5000).

The calculation puts the formation energy from raw total energies at -0.10 eV per atom. As for the total moment: 0.00 Bohr magnetons per cell. For the energy above the most stable polymorph in this dataset, the calculation gives 47.7 meV per atom.